{
  "formula": "Rb2BaSr2",
  "functional": "PBE",
  "state": "relaxed",
  "formation_energy_ev_per_atom": 0.258,
  "de_polymorph_mev_per_atom": 29,
  "rho_g_cm3": 2.25,
  "volume_a3_per_atom": 71.4,
  "lattice": [[-2.8065, 2.8065, 11.3374], [2.8065, -2.8065, 11.3374], [2.8065, 2.8065, -11.3374]],
  "species": ["Rb", "Rb", "Ba", "Sr", "Sr"],
  "fractional_positions": [[0.2500, 0.7500, 0.5000], [0.7500, 0.2500, 0.5000], [0.0000, 0.0000, 0.0000], [0.4110, 0.4110, 0.0000], [0.5890, 0.5890, 0.0000]]
}

---

{
  "formula": "YRe3",
  "functional": "PBE",
  "state": "relaxed",
  "formation_energy_ev_per_atom": 0.386,
  "de_polymorph_mev_per_atom": 122,
  "rho_g_cm3": 15.44,
  "volume_a3_per_atom": 17.4,
  "lattice": [[2.8727, 0.0000, 0.0000], [0.0000, 4.4074, 0.0000], [-1.0446, 0.0000, 5.5020]],
  "species": ["Y", "Re", "Re", "Re"],
  "fractional_positions": [[0.0000, 0.0000, 0.0000], [0.2663, 0.5000, 0.7166], [0.5000, 0.0000, 0.5000], [0.7337, 0.5000, 0.2834]]
}

---

{
  "formula": "PmHoNiHg",
  "functional": "PBE",
  "state": "relaxed",
  "formation_energy_ev_per_atom": -0.324,
  "rho_g_cm3": 10.04,
  "volume_a3_per_atom": 23.5,
  "lattice": [[0.0000, 3.6101, 3.6101], [3.6101, 0.0000, 3.6101], [3.6101, 3.6101, 0.0000]],
  "species": ["Pm", "Ho", "Ni", "Hg"],
  "fractional_positions": [[0.0000, 0.0000, 0.0000], [0.5000, 0.5000, 0.5000], [0.2500, 0.2500, 0.2500], [0.7500, 0.7500, 0.7500]]
}